## w
A relaxed structure of ScInBr4. Source: Alexandria via LeMat-Bulk, functional PBE.

Lattice parameters (Å, degrees): 6.3787 6.3787 6.3787 60.00 60.00 60.00
Closest atoms and distances in Å follow each position.
Sites, in units of the cell vectors:
Sc  0.0000  0.0000  0.0000  12 Br 3.74, 4 In 3.91
In  0.2500  0.2500  0.2500  12 Br 3.74, 4 Sc 3.91
Br  0.1228  0.6258  0.6258  6 Br 3.17-3.21
Br  0.6258  0.1228  0.6258  6 Br 3.17-3.21
Br  0.6258  0.6258  0.1228  6 Br 3.17-3.21
Br  0.6258  0.6258  0.6258  6 Br 3.17-3.21

=====

## x
A relaxed structure of ScInBr4. Source: Alexandria via LeMat-Bulk, functional PBE.

Lattice parameters (Å, degrees): 4.0172 7.0633 8.1938 104.43 90.00 106.40
Closest atoms and distances in Å follow each position.
Sites, in units of the cell vectors:
Sc  0.0000  0.0000  0.0000  6 Br 2.61-2.73
In  0.5000  0.0000  0.5000  6 Br 3.26-3.34
Br  0.1200  0.2418  0.3053  1 Sc 2.61
Br  0.3872  0.7729  0.0859  2 Sc 2.73
Br  0.6128  0.2271  0.9141  2 Sc 2.73
Br  0.8800  0.7582  0.6947  1 Sc 2.61

=====

## y
A relaxed structure of ScInBr4. Source: Alexandria via LeMat-Bulk, functional PBE.

Lattice parameters (Å, degrees): 8.8378 8.8378 7.4555 102.38 102.38 44.63
Closest atoms and distances in Å follow each position.
Sites, in units of the cell vectors:
Sc  0.0000  0.5000  0.0000  6 Br 2.60-2.72
Sc  0.5000  0.0000  0.5000  6 Br 2.60-2.72
In  0.2275  0.7725  0.7500  4 Br 3.17-3.25
In  0.7725  0.2275  0.2500  4 Br 3.17-3.25
Br  0.1342  0.2515  0.6727  2 Sc 2.72
Br  0.2515  0.1342  0.1727  2 Sc 2.72
Br  0.3011  0.4980  0.0443  1 Sc 2.60
Br  0.4980  0.3011  0.5443  1 Sc 2.60
Br  0.5020  0.6989  0.4557  1 Sc 2.60
Br  0.6989  0.5020  0.9557  1 Sc 2.60
Br  0.7485  0.8658  0.8273  2 Sc 2.72
Br  0.8658  0.7485  0.3273  2 Sc 2.72

=====

Which of them is the least stable? Correct choice: w.

=====

## w
A relaxed structure of ScInBr. Source: Alexandria via LeMat-Bulk, functional PBE.

Lattice parameters (Å, degrees): 3.5141 3.5141 7.7259 90.00 90.00 120.00
Closest atoms and distances in Å follow each position.
Sites, in units of the cell vectors:
Sc  0.0000  0.0000  0.0000  3 Br 2.72
In  0.3333  0.6667  0.7037  3 Sc 3.06
Br  0.6667  0.3333  0.2338  3 Sc 2.72

=====

## x
A relaxed structure of ScInBr. Source: Alexandria via LeMat-Bulk, functional PBE.

Lattice parameters (Å, degrees): 8.5745 8.2458 3.4742 83.44 72.82 23.74
Closest atoms and distances in Å follow each position.
Sites, in units of the cell vectors:
Sc  0.0000  0.0000  0.0000  2 Br 2.66, 2 In 2.97
In  0.3532  0.3532  0.6468  2 Sc 2.97
Br  0.6213  0.6213  0.3787  2 Sc 2.66

=====

Which of them is the least stable? Correct choice: x.

=====

## w
A relaxed structure of ScInBr. Source: Alexandria via LeMat-Bulk, functional PBE.

Lattice parameters (Å, degrees): 4.9618 4.9618 4.9618 60.00 60.00 60.00
Closest atoms and distances in Å follow each position.
Sites, in units of the cell vectors:
Sc  0.0000  0.0000  0.0000  4 Br 3.04, 4 In 3.04
In  0.2500  0.2500  0.2500  4 Sc 3.04
Br  0.7500  0.7500  0.7500  4 Sc 3.04

=====

## x
A relaxed structure of ScInBr. Source: Alexandria via LeMat-Bulk, functional PBE.

Lattice parameters (Å, degrees): 7.9900 7.9900 7.9900 155.86 155.86 34.41
Closest atoms and distances in Å follow each position.
Sites, in units of the cell vectors:
Sc  0.0000  0.0000  0.0000  4 Br 2.87, 4 In 3.14
In  0.3650  0.3650  0.0000  4 Sc 3.14, 4 In 3.34
Br  0.6068  0.6068  0.0000  4 Sc 2.87

=====

## y
A relaxed structure of ScInBr. Source: Alexandria via LeMat-Bulk, functional PBE.

Lattice parameters (Å, degrees): 4.8054 4.8054 3.7253 90.00 90.00 120.00
Closest atoms and distances in Å follow each position.
Sites, in units of the cell vectors:
Sc  0.0000  0.0000  0.0000  3 Br 2.77
In  0.3333  0.6667  0.5000  6 Sc 3.34, 6 Br 3.34, 2 In 3.73
Br  0.6667  0.3333  0.0000  3 Sc 2.77

=====

Which of them is the least stable? Correct choice: w.

=====

## w
A relaxed structure of ScIn3Br. Source: Alexandria via LeMat-Bulk, functional PBE.

Lattice parameters (Å, degrees): 5.6192 5.6192 5.6192 90.00 90.00 90.00
Closest atoms and distances in Å follow each position.
Sites, in units of the cell vectors:
Sc  0.0000  0.0000  0.0000  12 In 3.97
In  0.0000  0.5000  0.5000  2 Br 2.81
In  0.5000  0.0000  0.5000  2 Br 2.81
In  0.5000  0.5000  0.0000  2 Br 2.81
Br  0.5000  0.5000  0.5000  6 In 2.81

=====

## x
A relaxed structure of ScIn3Br. Source: Alexandria via LeMat-Bulk, functional PBE.

Lattice parameters (Å, degrees): 5.8050 5.8050 5.8050 90.00 90.00 90.00
Closest atoms and distances in Å follow each position.
Sites, in units of the cell vectors:
Sc  0.0000  0.0000  0.0000  6 In 2.90
In  0.0000  0.0000  0.5000  2 Sc 2.90
In  0.0000  0.5000  0.0000  2 Sc 2.90
In  0.5000  0.0000  0.0000  2 Sc 2.90
Br  0.5000  0.5000  0.5000  12 In 4.10

=====

Which of them is the least stable? Correct choice: w.

=====

## w
A relaxed structure of InSeBr2. Source: Alexandria via LeMat-Bulk, functional PBE.

Lattice parameters (Å, degrees): 5.3752 5.3752 3.7172 90.00 90.00 90.07
Closest atoms and distances in Å follow each position.
Sites, in units of the cell vectors:
In  0.0000  0.0000  0.0000  8 Br 3.27
Se  0.5000  0.5000  0.0000  8 Br 3.27
Br  0.0000  0.5000  0.5000  4 In 3.27, 4 Se 3.27
Br  0.5000  0.0000  0.5000  4 In 3.27, 4 Se 3.27

=====

## x
A relaxed structure of InSeBr2. Source: Alexandria via LeMat-Bulk, functional PBE.

Lattice parameters (Å, degrees): 7.7316 7.7316 7.7316 96.98 96.98 139.21
Closest atoms and distances in Å follow each position.
Sites, in units of the cell vectors:
In  0.0000  0.0000  0.0000  2 Se 2.69, 4 Br 2.82
In  0.7500  0.2500  0.5000  2 Se 2.69, 4 Br 2.82
Se  0.2500  0.7500  0.5000  2 In 2.69
Se  0.5000  0.5000  0.0000  2 In 2.69
Br  0.3750  0.2195  0.3445  2 In 2.82
Br  0.7805  0.1250  0.1555  2 In 2.82
Br  0.8750  0.0305  0.6555  2 In 2.82
Br  0.9695  0.6250  0.8445  2 In 2.82

=====

## y
A relaxed structure of InSeBr2. Source: Alexandria via LeMat-Bulk, functional PBE.

Lattice parameters (Å, degrees): 4.2025 4.2025 8.0473 90.00 90.00 90.00
Closest atoms and distances in Å follow each position.
Sites, in units of the cell vectors:
In  0.0000  0.0000  0.0000  1 Br 2.57
Se  0.5000  0.5000  0.9455  1 Br 2.35
Br  0.0000  0.0000  0.3191  1 In 2.57
Br  0.5000  0.5000  0.6540  1 Se 2.35

=====

Which of them is the least stable? Correct choice: w.

=====

## w
A relaxed structure of InSeBr2. Source: Alexandria via LeMat-Bulk, functional PBE.

Lattice parameters (Å, degrees): 4.4825 4.4825 7.4258 90.00 90.00 119.04
Closest atoms and distances in Å follow each position.
Sites, in units of the cell vectors:
In  0.0000  0.0000  0.0000  4 Br 3.03
Se  0.0000  0.0000  0.5000  4 Br 2.85
Br  0.5000  0.5000  0.2689  2 Se 2.85, 2 In 3.03
Br  0.5000  0.5000  0.7311  2 Se 2.85, 2 In 3.03

=====

## x
A relaxed structure of InSeBr2. Source: Alexandria via LeMat-Bulk, functional PBE.

Lattice parameters (Å, degrees): 4.4155 3.8758 6.6548 90.00 90.20 90.00
Closest atoms and distances in Å follow each position.
Sites, in units of the cell vectors:
In  0.0000  0.0000  0.0000  4 Br 2.94
Se  0.0000  0.5000  0.5000  4 Br 2.94
Br  0.5000  0.0000  0.5000  4 Se 2.94
Br  0.5000  0.5000  0.0000  4 In 2.94

=====

## y
A relaxed structure of InSeBr2. Source: Alexandria via LeMat-Bulk, functional PBE.

Lattice parameters (Å, degrees): 9.6627 9.6627 9.6627 25.44 25.44 25.44
Closest atoms and distances in Å follow each position.
Sites, in units of the cell vectors:
In  0.0000  0.0000  0.0000  6 Br 3.23
Se  0.5000  0.5000  0.5000  2 Br 2.57
Br  0.4082  0.4082  0.4082  1 Se 2.57
Br  0.5918  0.5918  0.5918  1 Se 2.57

=====

Which of them is the least stable? Correct choice: w.

=====

## w
A relaxed structure of InSeBr2. Source: Alexandria via LeMat-Bulk, functional PBE.

Lattice parameters (Å, degrees): 8.8603 8.8603 8.8603 26.67 26.67 26.67
Closest atoms and distances in Å follow each position.
Sites, in units of the cell vectors:
In  0.0000  0.0000  0.0000  3 Se 2.71, 3 Br 2.95
Se  0.2814  0.2814  0.2814  3 In 2.71
Br  0.5317  0.5317  0.5317  3 Se 3.18
Br  0.7358  0.7358  0.7358  3 In 2.95

=====

## x
A relaxed structure of InSeBr2. Source: Alexandria via LeMat-Bulk, functional PBE.

Lattice parameters (Å, degrees): 5.3972 5.3972 5.4071 114.30 114.30 99.14
Closest atoms and distances in Å follow each position.
Sites, in units of the cell vectors:
In  0.0000  0.0000  0.0000  4 Br 2.93
Se  0.5000  0.5000  0.0000  4 Br 2.93
Br  0.0000  0.5000  0.5000  2 In 2.93, 2 Se 2.93
Br  0.5000  0.0000  0.5000  2 In 2.93, 2 Se 2.93

=====

## y
A relaxed structure of InSeBr2. Source: Alexandria via LeMat-Bulk, functional PBE.

Lattice parameters (Å, degrees): 4.4241 4.4241 8.6032 90.00 90.00 125.16
Closest atoms and distances in Å follow each position.
Sites, in units of the cell vectors:
In  0.0000  0.0000  0.0000  2 Se 2.66, 2 Br 2.82
Se  0.5000  0.5000  0.8019  2 In 2.66, 2 Br 2.80
Br  0.0000  0.0000  0.5785  2 Se 2.80
Br  0.5000  0.5000  0.2271  2 In 2.82

=====

Which of them is the least stable? Correct choice: x.

=====

## w
A relaxed structure of InSeBr2. Source: Alexandria via LeMat-Bulk, functional PBE.

Lattice parameters (Å, degrees): 5.2096 5.2096 5.2096 60.00 60.00 60.00
Closest atoms and distances in Å follow each position.
Sites, in units of the cell vectors:
In  0.0000  0.0000  0.0000  4 Se 3.19, 4 Br 3.19
Se  0.2500  0.2500  0.2500  4 In 3.19, 4 Br 3.19
Br  0.5000  0.5000  0.5000  4 Se 3.19, 4 Br 3.19
Br  0.7500  0.7500  0.7500  4 Br 3.19, 4 In 3.19

=====

## x
A relaxed structure of InSeBr2. Source: Alexandria via LeMat-Bulk, functional PBE.

Lattice parameters (Å, degrees): 8.1105 8.1105 4.3970 105.49 105.49 27.47
Closest atoms and distances in Å follow each position.
Sites, in units of the cell vectors:
In  0.0000  0.0000  0.0000  2 Se 2.87, 4 Br 3.13-3.14
Se  0.3595  0.3595  0.8622  2 In 2.87, 4 Br 2.94
Br  0.5749  0.5749  0.5744  4 In 3.13-3.14
Br  0.8362  0.8362  0.3392  4 Se 2.94

=====

Which of them is the least stable? Correct choice: w.